# 1
## UTcNiRh (PBE)

Data for UTcNiRh after structural relaxation.

Properties
energy of formation = -0.37 eV/atom

Cell lengths 3.7990, 3.9658, 4.1249 Å; angles 90.00, 90.00, 90.00 degrees
With the nearest neighbours (Å) after each atom.
Atoms (fractional coordinates):
U1 0.5000 0.0000 0.5000  4 Tc 2.75, 4 Rh 2.80, 4 Ni 2.86
Tc1 0.0000 0.5000 0.5000  4 U 2.75, 4 Ni 2.80, 4 Rh 2.86
Ni1 0.5000 0.5000 0.0000  4 Rh 2.75, 4 Tc 2.80, 4 U 2.86
Rh1 0.0000 0.0000 0.0000  4 Ni 2.75, 4 U 2.80, 4 Tc 2.86


# 2
## YTcNiRh2 (PBE)

Data for YTcNiRh2 after structural relaxation.

Properties
energy of formation = 0.41 eV/atom

Cell lengths 4.7079, 4.5188, 4.7079 Å; angles 90.00, 90.00, 90.00 degrees
With the nearest neighbours (Å) after each atom.
Atoms (fractional coordinates):
Y1 0.5000 0.5000 0.5000  8 Rh 3.26, 4 Ni 3.33
Ni1 0.0000 0.5000 0.0000  2 Tc 2.26
Rh1 0.0000 0.0000 0.5000  2 Tc 2.35
Rh2 0.5000 0.0000 0.0000  2 Tc 2.35
Tc1 0.0000 0.0000 0.0000  2 Ni 2.26, 4 Rh 2.35


# 3
## NiTeRh3 (PBE)

Data for NiTeRh3 after structural relaxation.

Properties
distance to the lowest polymorph of the same formula = 0.00 eV/f.u.

Cell lengths 4.5251, 4.5251, 4.5251 Å; angles 90.00, 90.00, 90.00 degrees
With the nearest neighbours (Å) after each atom.
Atoms (fractional coordinates):
Ni1 0.0000 0.0000 0.0000  6 Rh 2.26
Te1 0.5000 0.5000 0.5000  12 Rh 3.20
Rh1 0.0000 0.5000 0.0000  2 Ni 2.26
Rh2 0.0000 0.0000 0.5000  2 Ni 2.26
Rh3 0.5000 0.0000 0.0000  2 Ni 2.26


# 4
## Ni2TeRh (PBE)

Data for Ni2TeRh after structural relaxation.

Cell lengths 3.8974, 3.7347, 3.8972 Å; angles 89.99, 90.00, 90.00 degrees
With the nearest neighbours (Å) after each atom.
Atoms (fractional coordinates):
Ni1 0.0000 0.1250 0.8763  4 Rh 2.70, 4 Te 2.70, 4 Ni 2.74-2.77
Ni2 0.5000 0.1250 0.3718  4 Te 2.69-2.71, 4 Rh 2.70, 4 Ni 2.74-2.77
Rh1 0.0000 0.6249 0.3771  8 Ni 2.70, 4 Te 2.75-2.76
Te1 0.5000 0.6251 0.8748  8 Ni 2.69-2.71, 4 Rh 2.75-2.76


What did we get for magnetization? Answer: 0.0 0.0 2.9 0.0 μB/f.u., in the order shown.
What did we get for total energy? Answer: -9.06 -7.05 -5.32 -5.50 eV/atom, in the order shown.